A plane-wave DFT calculation with GGA-PBE was carried out for a relaxed SrInSn2Pd5 crystal.

Computed properties:
* final energy: -40.96 eV/cell
* symmetry: P4/mmm
* energy of formation: -0.286 eV/atom

The structure in extended XYZ format:
```
9
Lattice="5.0909 0.0000 0.0000 0.0000 5.0909 0.0000 0.0000 0.0000 8.1754" Properties=species:S:1:pos:R:3 pbc="T T T"
Sr 0.0000 0.0000 0.0000
In 0.0000 0.0000 4.0877
Sn 2.5454 2.5454 2.5276
Sn 2.5454 2.5454 5.6478
Pd 0.0000 2.5454 2.6856
Pd 0.0000 2.5454 5.4897
Pd 2.5454 0.0000 2.6856
Pd 2.5454 0.0000 5.4897
Pd 2.5454 2.5454 0.0000
```

A plane-wave DFT calculation with GGA-PBE was carried out for a relaxed CsRbMnCl4 crystal.

Computed properties:
* final energy: -59.80 eV/cell
* symmetry: P2_1/m

The structure in extended XYZ format:
```
14
Lattice="7.5062 0.0000 0.0000 0.0000 7.4334 0.0000 -3.0913 0.0000 9.1061" Properties=species:S:1:pos:R:3 pbc="T T T"
Cs 0.2648 1.8583 3.8813
Cs 4.1500 5.5750 5.2248
Rb -0.8023 1.8583 8.6746
Rb 5.2172 5.5750 0.4315
Mn 1.4986 5.5750 1.7956
Mn 2.9163 1.8583 7.3105
Cl -0.4162 5.5750 3.1761
Cl -2.1322 5.5750 8.6141
Cl 2.9017 3.7520 2.2829
Cl 2.9017 7.3981 2.2829
Cl 1.5132 0.0353 6.8232
Cl 1.5132 3.6814 6.8232
Cl 6.5471 1.8583 0.4920
Cl 4.8311 1.8583 5.9300
```

A plane-wave DFT calculation with GGA-PBE was carried out for a relaxed Pr12DyTm7 crystal.

Computed properties:
* final energy: -88.91 eV/cell
* symmetry: R-3
* energy of formation: 0.217 eV/atom

The structure in extended XYZ format:
```
20
Lattice="6.1016 3.5227 5.3883 -6.1016 3.5227 5.3883 0.0000 -7.0455 5.3883" Properties=species:S:1:pos:R:3 pbc="T T T"
Pr -1.4949 -1.3793 4.6741
Pr -3.2370 0.9989 7.1833
Pr -2.4835 -2.3039 8.9817
Pr -0.4471 1.9843 4.6741
Pr 0.7535 -3.3028 7.1833
Pr 1.9419 -0.6050 4.6741
Pr -1.9419 0.6050 11.4909
Pr -0.7535 3.3028 8.9817
Pr 0.4471 -1.9843 11.4909
Pr 2.4836 2.3039 7.1833
Pr 3.2370 -0.9989 8.9817
Pr 1.4949 1.3793 11.4909
Dy 0.0000 0.0000 0.0000
Tm -2.1661 -4.9707 6.7403
Tm -5.3878 -0.6095 9.4247
Tm -3.2217 4.3612 6.7403
Tm 0.0000 0.0000 8.0825
Tm 3.2217 -4.3612 9.4247
Tm 5.3878 0.6095 6.7403
Tm 2.1661 4.9707 9.4247
```

A plane-wave DFT calculation with GGA-PBE was carried out for a relaxed Ti2NbGaN crystal.

Computed properties:
* final energy: -41.29 eV/cell
* symmetry: P4/mmm

The structure in extended XYZ format:
```
5
Lattice="4.0396 0.0000 0.0000 0.0000 4.0396 0.0000 0.0000 0.0000 4.4244" Properties=species:S:1:pos:R:3 pbc="T T T"
Ti 0.0000 2.0198 0.0000
Ti 2.0198 0.0000 0.0000
Nb 0.0000 0.0000 2.2122
Ga 2.0198 2.0198 2.2122
N 0.0000 0.0000 0.0000
```

A plane-wave DFT calculation with GGA-PBE was carried out for a relaxed MgCuMoOs crystal.

Computed properties:
* final energy: -108.79 eV/cell
* symmetry: F-43m
* energy of formation: 0.138 eV/atom

The structure in extended XYZ format:
```
16
Lattice="6.1841 0.0000 0.0000 0.0000 6.1841 0.0000 0.0000 0.0000 6.1841" Properties=species:S:1:pos:R:3 pbc="T T T"
Mg 0.0000 0.0000 0.0000
Mg 0.0000 3.0921 3.0921
Mg 3.0921 0.0000 3.0921
Mg 3.0921 3.0921 0.0000
Cu 1.5460 1.5460 4.6381
Cu 1.5460 4.6381 1.5460
Cu 4.6381 1.5460 1.5460
Cu 4.6381 4.6381 4.6381
Mo 0.0000 0.0000 3.0921
Mo 0.0000 3.0921 0.0000
Mo 3.0921 0.0000 0.0000
Mo 3.0921 3.0921 3.0921
Os 1.5460 1.5460 1.5460
Os 1.5460 4.6381 4.6381
Os 4.6381 1.5460 4.6381
Os 4.6381 4.6381 1.5460
```

A plane-wave DFT calculation with GGA-PBE was carried out for a relaxed ScSnAu crystal.

Computed properties:
* final energy: -30.38 eV/cell
* symmetry: Pm
* energy of formation: -0.525 eV/atom

The structure in extended XYZ format:
```
6
Lattice="4.5481 0.0000 0.0000 0.0000 3.8119 0.0000 -0.1702 0.0000 7.5694" Properties=species:S:1:pos:R:3 pbc="T T T"
Sc 0.0000 0.0000 0.0000
Sc 2.1008 0.0000 4.5652
Sn 2.0691 1.9060 2.1886
Sn 2.1212 1.9060 6.9129
Au 4.3690 0.0000 2.8483
Au 4.3963 1.9060 5.2028
```

Which of these has the highest final energy? ScSnAu

Which value of final energy does entry 2 give? -59.80 eV/cell